Entry 1:
# Sn3I2Cl4, relaxed, DFT PBE
# * mass density: 3.686 g/cm³
# * total magnetization: 0.00 μB/atom
# * electronic total energy: -28.9 eV for the cell shown
# * V: 37.6 A^3/atom
data_Sn3I2Cl4
_symmetry_space_group_name_H-M 'P 3 m 1'
_symmetry_Int_Tables_number 156
_cell_length_a 4.1871
_cell_length_b 4.1871
_cell_length_c 22.3084
_cell_angle_alpha 90.00
_cell_angle_beta 90.00
_cell_angle_gamma 120.00
loop_
_symmetry_equiv_pos_as_xyz
'x,y,z'
'-y,x-y,z'
'-x+y,-x,z'
'-y,-x,z'
'-x+y,y,z'
'x,x-y,z'
loop_
_atom_site_label
_atom_site_fract_x
_atom_site_fract_y
_atom_site_fract_z
_atom_site_occupancy
Sn1 0.0000 0.0000 0.0000 1
Sn2 0.0000 0.0000 0.3615 1
Sn3 0.6667 0.3333 0.6628 1
I1 0.6667 0.3333 0.0942 1
I2 0.6667 0.3333 0.9058 1
Cl1 0.0000 0.0000 0.5884 1
Cl2 0.0000 0.0000 0.7371 1
Cl3 0.6667 0.3333 0.2871 1
Cl4 0.6667 0.3333 0.4359 1

---

Entry 2:
# Tl2SnI4Cl2, relaxed, DFT PBE
# * mass density: 5.300 g/cm³
# * total magnetization: 0.00 μB/atom
# * electronic total energy: -48.7 eV for the cell shown
# * V: 38.5 A^3/atom
data_Tl2SnI4Cl2
_symmetry_space_group_name_H-M 'C 1 2/m 1'
_symmetry_Int_Tables_number 12
_cell_length_a 13.006
_cell_length_b 8.225
_cell_length_c 8.394
_cell_angle_alpha 90.00
_cell_angle_beta 129.48
_cell_angle_gamma 90.00
loop_
_symmetry_equiv_pos_as_xyz
'x,y,z'
'-x,-y,-z'
'-x,y,-z'
'x,-y,z'
'x+1/2,y+1/2,z'
'-x+1/2,-y+1/2,-z'
'-x+1/2,y+1/2,-z'
'x+1/2,-y+1/2,z'
loop_
_atom_site_label
_atom_site_fract_x
_atom_site_fract_y
_atom_site_fract_z
_atom_site_occupancy
Tl1 0.240 0.000 0.163 1
Sn1 0.000 0.500 0.000 1
I1 0.023 0.253 0.265 1
Cl1 0.248 0.500 0.207 1

---

Entry 3:
# SrICl3, relaxed, DFT PBE
# * mass density: 2.890 g/cm³
# * total magnetization: 0.40 μB/atom
# * relative energy among the computed polymorphs: 0 meV per atom
# * electronic total energy: -14.4 eV for the cell shown
# * V: 36.9 A^3/atom
data_SrICl3
_symmetry_space_group_name_H-M 'P m -3 m'
_symmetry_Int_Tables_number 221
_symmetry_space_group_name_Hall '-P 4 2 3'
_cell_length_a 5.692
_cell_length_b 5.692
_cell_length_c 5.692
_cell_angle_alpha 90.00
_cell_angle_beta 90.00
_cell_angle_gamma 90.00
loop_
_atom_site_label
_atom_site_fract_x
_atom_site_fract_y
_atom_site_fract_z
_atom_site_occupancy
Sr1 0.000 0.000 0.000 1
I1 0.500 0.500 0.500 1
Cl1 0.000 0.000 0.500 1

---

Entry 4:
# SrICl2, relaxed, DFT PBE
# * mass density: 2.426 g/cm³
# * total magnetization: 0.25 μB/atom
# * relative energy among the computed polymorphs: 212 meV per atom
# * electronic total energy: -39.9 eV for the cell shown
# * V: 48.9 A^3/atom
data_SrICl2
_symmetry_space_group_name_H-M 'R -3 m'
_symmetry_Int_Tables_number 166
_symmetry_space_group_name_Hall '-R 3 2"'
_cell_length_a 4.3006
_cell_length_b 4.3006
_cell_length_c 36.5999
_cell_angle_alpha 90.00
_cell_angle_beta 90.00
_cell_angle_gamma 120.00
loop_
_atom_site_label
_atom_site_fract_x
_atom_site_fract_y
_atom_site_fract_z
_atom_site_occupancy
Sr1 0.0000 0.0000 0.0000 1
I1 0.0000 0.0000 0.5000 1
Cl1 0.0000 0.0000 0.3740 1